1.
8
Lattice="-2.2228 2.2228 9.7393 2.2228 -2.2228 9.7393 2.2228 2.2228 -9.7393" Properties=species:S:1:pos:R:3 comment="Mg2AlSn GGA-PBE relaxed" delta_e_f_mev_per_atom=115 sg="I-42d (122)" pbc="T T T"
Mg 3.3341 1.0440 -2.4348
Mg 1.0440 1.1114 2.4348
Mg -1.1114 1.1787 7.3045
Mg 1.1787 1.1114 12.1741
Al 0.0000 0.0000 0.0000
Al 0.0000 2.2228 4.8696
Sn 2.2228 0.0000 4.8696
Sn 0.0000 0.0000 9.7393

2.
3
Lattice="4.6403 0.0000 0.0000 -2.3201 4.0186 0.0000 0.0000 0.0000 4.2023" Properties=species:S:1:pos:R:3 comment="PmBiPt GGA-PBE relaxed" e_above_lowest_polymorph_mev_per_atom=210 delta_e_f_mev_per_atom=-823 sg="P3m1 (156)" pbc="T T T"
Pm 0.0000 0.0000 0.0000
Bi 0.0000 2.6791 2.1790
Pt 2.3201 1.3395 1.5770

3.
4
Lattice="2.1908 1.2649 7.9786 -2.1908 1.2649 7.9786 0.0000 -2.5297 7.9786" Properties=species:S:1:pos:R:3 comment="AcUTe2 GGA-PBE relaxed" e_above_lowest_polymorph_mev_per_atom=0 e_form_raw_ev_per_atom=-0.922 sg="R-3m (166)" pbc="T T T"
Ac 0.0000 0.0000 0.0000
U 0.0000 0.0000 11.9679
Te 0.0000 0.0000 5.8090
Te 0.0000 0.0000 18.1268

4.
20
Lattice="3.7635 2.1729 13.3326 -3.7635 2.1729 13.3326 0.0000 -4.3458 13.3326" Properties=species:S:1:pos:R:3 comment="Tl2CdPtBr6 GGA-PBE relaxed" e_form_raw_ev_per_atom=-0.538 sg="R-3m (166)" pbc="T T T"
Tl 0.0000 0.0000 4.4507
Tl 0.0000 0.0000 12.3510
Tl 0.0000 0.0000 27.6469
Tl 0.0000 0.0000 35.5472
Cd 0.0000 0.0000 16.6509
Cd 0.0000 0.0000 23.3470
Pt 0.0000 0.0000 0.0000
Pt 0.0000 0.0000 19.9990
Br -1.8517 -1.0691 18.4355
Br 0.0000 -2.2110 14.8834
Br -1.9148 1.1055 14.8834
Br -1.9148 -1.1055 25.1145
Br 0.0000 -2.1382 21.5624
Br -1.8517 1.0691 21.5624
Br 1.8517 -1.0691 18.4355
Br 0.0000 2.1382 18.4355
Br 1.9148 1.1055 14.8835
Br 1.9148 -1.1055 25.1145
Br 0.0000 2.2110 25.1145
Br 1.8517 1.0691 21.5624

5.
5
Lattice="4.5743 0.0000 0.0000 0.0000 4.5743 0.0000 0.0000 0.0000 3.7925" Properties=species:S:1:pos:R:3 comment="Zr2MnAlC GGA-PBE relaxed" e_above_lowest_polymorph_mev_per_atom=336 delta_e_f_mev_per_atom=-51 sg="P4/mmm (123)" pbc="T T T"
Zr 0.0000 2.2871 0.0000
Zr 2.2871 0.0000 0.0000
Mn 0.0000 0.0000 1.8963
Al 2.2871 2.2871 1.8963
C 2.2871 2.2871 0.0000

6.
20
Lattice="3.9962 -4.8345 0.0000 3.9962 4.8345 0.0000 -0.9366 0.0000 4.7405" Properties=species:S:1:pos:R:3 comment="LiInH6Ir2 GGA-PBE relaxed" energy_ev_per_atom=-4.318 sg="C2/c (15)" pbc="T T T"
Li 3.2938 3.3787 3.5553
Li 3.7621 -3.3787 1.1851
In 3.7621 1.1827 1.1851
In 3.2938 -1.1827 3.5553
H 2.9314 3.5843 1.6943
H 1.6204 2.3098 4.1776
H 1.3578 0.0422 1.6939
H 0.8895 -0.0422 4.0641
H 4.5928 3.5843 0.6760
H 4.9673 2.3098 2.9331
H 2.0886 -2.3098 1.8073
H 2.4631 -3.5843 4.0645
H 6.1664 0.0422 0.6764
H 5.6981 -0.0422 3.0466
H 5.4356 -2.3098 0.5629
H 4.1245 -3.5843 3.0462
Ir 1.7458 1.1414 3.0947
Ir 2.2141 -1.1414 0.7245
Ir 4.8418 1.1414 4.0160
Ir 5.3101 -1.1414 1.6457

7.
18
Lattice="4.2954 2.4799 9.3828 -4.2954 2.4799 9.3828 0.0000 -4.9598 9.3828" Properties=species:S:1:pos:R:3 comment="Rb2CaCd12Au3 GGA-PBE relaxed" delta_e_f_mev_per_atom=8 sg="R-3m (166)" pbc="T T T"
Rb 0.0000 0.0000 3.3548
Rb 0.0000 0.0000 24.7936
Ca 0.0000 0.0000 14.0742
Cd -2.7702 -1.5994 12.1987
Cd 0.0000 -1.8623 11.0595
Cd -1.6128 0.9311 11.0595
Cd 0.0000 -3.1987 15.9498
Cd -2.7702 1.5994 15.9498
Cd -1.6128 -0.9311 17.0890
Cd 1.6128 0.9311 11.0595
Cd 2.7702 -1.5994 12.1986
Cd 0.0000 3.1987 12.1986
Cd 1.6128 -0.9311 17.0890
Cd 0.0000 1.8623 17.0890
Cd 2.7702 1.5994 15.9498
Au -2.1477 -1.2400 9.3828
Au -2.1477 1.2400 18.7656
Au 0.0000 2.4799 9.3828

8.
5
Lattice="-3.3430 3.3430 5.2889 3.3430 -3.3430 5.2889 3.3430 3.3430 -5.2889" Properties=species:S:1:pos:R:3 comment="K2Cd2I GGA-PBE relaxed" e_above_lowest_polymorph_mev_per_atom=117 e_form_raw_ev_per_atom=-0.248 sg="I4/mmm (139)" pbc="T T T"
K 3.3430 0.0000 2.6445
K 0.0000 3.3430 2.6445
Cd 0.0000 0.0000 1.4532
Cd 0.0000 0.0000 9.1247
I 0.0000 0.0000 5.2889

9.
15
Lattice="11.3879 0.0000 0.0000 -5.6939 9.8622 0.0000 0.0000 0.0000 4.3707" Properties=species:S:1:pos:R:3 comment="Tb8YSb6 GGA-PBE relaxed" e_form_raw_ev_per_atom=-0.611 sg="P-3 (147)" pbc="T T T"
Tb -1.4331 3.2837 1.0464
Tb -2.1337 9.4614 1.0464
Tb 2.1272 2.8829 3.3243
Tb 0.0000 6.5748 3.3144
Tb 5.6939 3.2874 1.0563
Tb 3.5667 6.9793 1.0464
Tb 7.8276 0.4007 3.3243
Tb 7.1270 6.5785 3.3243
Y 0.0000 0.0000 2.1853
Sb -2.2125 6.3990 1.1315
Sb 1.2585 4.7466 1.1315
Sb 4.7399 1.2835 3.2391
Sb 0.9540 8.5787 1.1315
Sb 4.4355 5.1156 3.2391
Sb 7.9064 3.4632 3.2391

10.
5
Lattice="5.1922 0.0000 0.0000 0.0000 5.1922 0.0000 0.0000 0.0000 5.2991" Properties=species:S:1:pos:R:3 comment="In2BiRhPb GGA-PBE relaxed" delta_e_f_mev_per_atom=7 sg="P4/mmm (123)" pbc="T T T"
In 0.0000 2.5961 0.0000
In 2.5961 0.0000 0.0000
Bi 0.0000 0.0000 2.6496
Rh 2.5961 2.5961 0.0000
Pb 2.5961 2.5961 2.6496

11.
5
Lattice="3.9959 0.0000 0.0000 0.0000 3.9959 0.0000 0.0000 0.0000 3.7479" Properties=species:S:1:pos:R:3 comment="FeReMo2H GGA-PBE relaxed" e_above_lowest_polymorph_mev_per_atom=0 sg="P4/mmm (123)" pbc="T T T"
Fe 0.0000 0.0000 0.0000
Re 1.9979 1.9979 0.0000
Mo 0.0000 1.9979 1.8740
Mo 1.9979 0.0000 1.8740
H 0.0000 0.0000 1.8740

12.
12
Lattice="3.1111 -5.3876 0.0000 3.1111 5.3876 0.0000 -2.0741 0.0000 11.6780" Properties=species:S:1:pos:R:3 comment="La2PmY6Tm3 GGA-PBE relaxed" delta_e_f_mev_per_atom=26 sg="C2/m (12)" pbc="T T T"
La 3.1111 3.5958 0.0000
La 3.1111 -3.5958 0.0000
Pm 3.1111 0.0000 0.0000
Y -0.0018 1.7926 8.6873
Y 1.0454 0.0000 2.9923
Y -0.0018 -1.7926 8.6873
Y 4.1499 1.7926 2.9906
Y 3.1028 0.0000 8.6857
Y 4.1499 -1.7926 2.9906
Tm -1.0370 0.0000 5.8390
Tm 2.0741 1.7948 5.8390
Tm 2.0741 -1.7948 5.8390